(1)
# PbAu, optimized geometry, DFT PBE-GGA
data_PbAu
_symmetry_space_group_name_H-M 'P 1'
_symmetry_Int_Tables_number 1
_cell_length_a 7.6780
_cell_length_b 7.6780
_cell_length_c 7.6780
_cell_angle_alpha 109.47
_cell_angle_beta 109.47
_cell_angle_gamma 109.47
loop_
_symmetry_equiv_pos_as_xyz
'x,y,z'
loop_
_atom_site_label
_atom_site_type_symbol
_atom_site_fract_x
_atom_site_fract_y
_atom_site_fract_z
Pb1 Pb 0.0000 0.0000 0.3219
Pb2 Pb 0.0000 0.3219 0.0000
Pb3 Pb 0.3219 0.0000 0.0000
Pb4 Pb 0.6781 0.6781 0.6781
Au1 Au 0.0000 0.0000 0.6838
Au2 Au 0.0000 0.6838 0.0000
Au3 Au 0.3162 0.3162 0.3162
Au4 Au 0.6838 0.0000 0.0000
# SG ... I-43m
# Electronic total energy ... -3.247 eV/atom
# Total magnetic moment ... 0.00 Bohr magnetons per cell
# D(E_F) ... 4.4 states/eV/cell


(2)
# TlBiAuSe2, optimized geometry, DFT PBE-GGA
data_TlBiAuSe2
_symmetry_space_group_name_H-M 'P 1'
_symmetry_Int_Tables_number 1
_cell_length_a 7.3991
_cell_length_b 4.8505
_cell_length_c 8.6437
_cell_angle_alpha 90.00
_cell_angle_beta 99.13
_cell_angle_gamma 90.00
loop_
_symmetry_equiv_pos_as_xyz
'x,y,z'
loop_
_atom_site_label
_atom_site_type_symbol
_atom_site_fract_x
_atom_site_fract_y
_atom_site_fract_z
Tl1 Tl 0.0000 0.1299 0.2500
Tl2 Tl 0.0000 0.8701 0.7500
Bi1 Bi 0.5000 0.4455 0.7500
Bi2 Bi 0.5000 0.5545 0.2500
Au1 Au 0.5000 0.0000 0.0000
Au2 Au 0.5000 0.0000 0.5000
Se1 Se 0.2366 0.3273 0.9722
Se2 Se 0.2366 0.6727 0.4722
Se3 Se 0.7634 0.3273 0.5278
Se4 Se 0.7634 0.6727 0.0278
# SG ... P2/c
# Electronic total energy ... -3.497 eV/atom
# E_form (uncorrected) ... -0.20 eV/atom
# Total magnetic moment ... 0.00 Bohr magnetons per cell
# D(E_F) ... 3.0 states/eV/cell


(3)
# GeBi2PCl, optimized geometry, DFT PBE-GGA
data_GeBi2PCl
_symmetry_space_group_name_H-M 'P 1'
_symmetry_Int_Tables_number 1
_cell_length_a 5.6005
_cell_length_b 5.6005
_cell_length_c 4.6813
_cell_angle_alpha 90.00
_cell_angle_beta 90.00
_cell_angle_gamma 90.00
loop_
_symmetry_equiv_pos_as_xyz
'x,y,z'
loop_
_atom_site_label
_atom_site_type_symbol
_atom_site_fract_x
_atom_site_fract_y
_atom_site_fract_z
Ge1 Ge 0.0000 0.0000 0.0000
Bi1 Bi 0.0000 0.5000 0.0000
Bi2 Bi 0.5000 0.0000 0.0000
P1 P 0.0000 0.0000 0.5000
Cl1 Cl 0.5000 0.5000 0.5000
# SG ... P4/mmm
# Electronic total energy ... -3.393 eV/atom
# E_form (uncorrected) ... 0.53 eV/atom
# Total magnetic moment ... 0.00 Bohr magnetons per cell
# D(E_F) ... 6.3 states/eV/cell


(4)
# K3ZnS2O8, optimized geometry, DFT PBE-GGA
data_K3ZnS2O8
_symmetry_space_group_name_H-M 'P 1'
_symmetry_Int_Tables_number 1
_cell_length_a 5.8296
_cell_length_b 5.8296
_cell_length_c 7.5422
_cell_angle_alpha 90.00
_cell_angle_beta 90.00
_cell_angle_gamma 120.00
loop_
_symmetry_equiv_pos_as_xyz
'x,y,z'
loop_
_atom_site_label
_atom_site_type_symbol
_atom_site_fract_x
_atom_site_fract_y
_atom_site_fract_z
K1 K 0.0000 0.0000 0.0000
K2 K 0.3333 0.6667 0.6773
K3 K 0.6667 0.3333 0.3227
Zn1 Zn 0.0000 0.0000 0.5000
S1 S 0.3333 0.6667 0.2232
S2 S 0.6667 0.3333 0.7768
O1 O 0.1932 0.3864 0.2930
O2 O 0.1932 0.8068 0.2930
O3 O 0.3333 0.6667 0.0281
O4 O 0.3864 0.1932 0.7070
O5 O 0.6136 0.8068 0.2930
O6 O 0.6667 0.3333 0.9719
O7 O 0.8068 0.1932 0.7070
O8 O 0.8068 0.6136 0.7070
# SG ... P-3m1
# Electronic total energy ... -5.319 eV/atom
# E_form (uncorrected) ... -1.57 eV/atom
# Total magnetic moment ... 0.92 Bohr magnetons per cell
# D(E_F) ... 2.0 states/eV/cell


(5)
# Fe2TcSb, optimized geometry, DFT PBE-GGA
data_Fe2TcSb
_symmetry_space_group_name_H-M 'P 1'
_symmetry_Int_Tables_number 1
_cell_length_a 4.3471
_cell_length_b 4.3471
_cell_length_c 4.3471
_cell_angle_alpha 60.00
_cell_angle_beta 60.00
_cell_angle_gamma 60.00
loop_
_symmetry_equiv_pos_as_xyz
'x,y,z'
loop_
_atom_site_label
_atom_site_type_symbol
_atom_site_fract_x
_atom_site_fract_y
_atom_site_fract_z
Fe1 Fe 0.0000 0.0000 0.0000
Fe2 Fe 0.2500 0.2500 0.2500
Tc1 Tc 0.7500 0.7500 0.7500
Sb1 Sb 0.5000 0.5000 0.5000
# SG ... F-43m
# Electronic total energy ... -7.715 eV/atom
# E_form (uncorrected) ... 0.14 eV/atom
# Total magnetic moment ... 5.00 Bohr magnetons per cell
# D(E_F) ... 2.7 states/eV/cell


(6)
# Te5S12I3, optimized geometry, DFT PBE-GGA
data_Te5S12I3
_symmetry_space_group_name_H-M 'P 1'
_symmetry_Int_Tables_number 1
_cell_length_a 15.0425
_cell_length_b 15.0425
_cell_length_c 15.0425
_cell_angle_alpha 109.47
_cell_angle_beta 109.47
_cell_angle_gamma 109.47
loop_
_symmetry_equiv_pos_as_xyz
'x,y,z'
loop_
_atom_site_label
_atom_site_type_symbol
_atom_site_fract_x
_atom_site_fract_y
_atom_site_fract_z
Te1 Te 0.0000 0.0000 0.0000
Te2 Te 0.0000 0.0000 0.5000
Te3 Te 0.0000 0.5000 0.0000
Te4 Te 0.0000 0.5000 0.5000
Te5 Te 0.1250 0.7500 0.8750
Te6 Te 0.1250 0.8750 0.2500
Te7 Te 0.2500 0.1250 0.8750
Te8 Te 0.2500 0.6250 0.3750
Te9 Te 0.3750 0.2500 0.6250
Te10 Te 0.3750 0.6250 0.7500
Te11 Te 0.5000 0.0000 0.0000
Te12 Te 0.5000 0.0000 0.5000
Te13 Te 0.5000 0.5000 0.0000
Te14 Te 0.5000 0.5000 0.5000
Te15 Te 0.6250 0.3750 0.2500
Te16 Te 0.6250 0.7500 0.3750
Te17 Te 0.7500 0.3750 0.6250
Te18 Te 0.7500 0.8750 0.1250
Te19 Te 0.8750 0.1250 0.7500
Te20 Te 0.8750 0.2500 0.1250
S1 S 0.0013 0.6674 0.1472
S2 S 0.0013 0.8339 0.8541
S3 S 0.0202 0.6661 0.6674
S4 S 0.0202 0.8541 0.3528
S5 S 0.1459 0.6472 0.9798
S6 S 0.1459 0.9987 0.1661
S7 S 0.1472 0.0013 0.6674
S8 S 0.1472 0.6459 0.4798
S9 S 0.1661 0.1459 0.9987
S10 S 0.1661 0.5202 0.1674
S11 S 0.1674 0.1661 0.5202
S12 S 0.1674 0.5013 0.6472
S13 S 0.3326 0.8528 0.9987
S14 S 0.3326 0.9798 0.3339
S15 S 0.3339 0.3326 0.9798
S16 S 0.3339 0.5013 0.3541
S17 S 0.3528 0.0202 0.8541
S18 S 0.3528 0.8326 0.4987
S19 S 0.3541 0.3339 0.5013
S20 S 0.3541 0.5202 0.8528
S21 S 0.4798 0.1472 0.6459
S22 S 0.4798 0.8326 0.8339
S23 S 0.4987 0.3528 0.8326
S24 S 0.4987 0.6459 0.6661
S25 S 0.5013 0.3541 0.3339
S26 S 0.5013 0.6472 0.1674
S27 S 0.5202 0.1674 0.1661
S28 S 0.5202 0.8528 0.3541
S29 S 0.6459 0.4798 0.1472
S30 S 0.6459 0.6661 0.4987
S31 S 0.6472 0.1674 0.5013
S32 S 0.6472 0.9798 0.1459
S33 S 0.6661 0.4987 0.6459
S34 S 0.6661 0.6674 0.0202
S35 S 0.6674 0.0202 0.6661
S36 S 0.6674 0.1472 0.0013
S37 S 0.8326 0.4987 0.3528
S38 S 0.8326 0.8339 0.4798
S39 S 0.8339 0.4798 0.8326
S40 S 0.8339 0.8541 0.0013
S41 S 0.8528 0.3541 0.5202
S42 S 0.8528 0.9987 0.3326
S43 S 0.8541 0.0013 0.8339
S44 S 0.8541 0.3528 0.0202
S45 S 0.9798 0.1459 0.6472
S46 S 0.9798 0.3339 0.3326
S47 S 0.9987 0.1661 0.1459
S48 S 0.9987 0.3326 0.8528
I1 I 0.1250 0.2500 0.3750
I2 I 0.1250 0.3750 0.7500
I3 I 0.2500 0.3750 0.1250
I4 I 0.2500 0.8750 0.6250
I5 I 0.3750 0.1250 0.2500
I6 I 0.3750 0.7500 0.1250
I7 I 0.6250 0.2500 0.8750
I8 I 0.6250 0.8750 0.7500
I9 I 0.7500 0.1250 0.3750
I10 I 0.7500 0.6250 0.8750
I11 I 0.8750 0.6250 0.2500
I12 I 0.8750 0.7500 0.6250
# SG ... Ia-3d
# Electronic total energy ... -3.037 eV/atom
# E_form (uncorrected) ... 0.46 eV/atom
# Total magnetic moment ... 0.00 Bohr magnetons per cell
# D(E_F) ... 64.3 states/eV/cell


(7)
# CaFePtBr2, optimized geometry, DFT PBE-GGA
data_CaFePtBr2
_symmetry_space_group_name_H-M 'P 1'
_symmetry_Int_Tables_number 1
_cell_length_a 5.2755
_cell_length_b 5.2755
_cell_length_c 4.8588
_cell_angle_alpha 90.00
_cell_angle_beta 90.00
_cell_angle_gamma 90.00
loop_
_symmetry_equiv_pos_as_xyz
'x,y,z'
loop_
_atom_site_label
_atom_site_type_symbol
_atom_site_fract_x
_atom_site_fract_y
_atom_site_fract_z
Ca1 Ca 0.0000 0.0000 0.0000
Fe1 Fe 0.5000 0.5000 0.0000
Pt1 Pt 0.5000 0.5000 0.5000
Br1 Br 0.0000 0.5000 0.5000
Br2 Br 0.5000 0.0000 0.5000
# SG ... P4/mmm
# Electronic total energy ... -3.934 eV/atom
# E_form (uncorrected) ... 0.04 eV/atom
# Total magnetic moment ... 3.17 Bohr magnetons per cell
# D(E_F) ... 2.7 states/eV/cell


(8)
# BeIn2Cl4, optimized geometry, DFT PBE-GGA
data_BeIn2Cl4
_symmetry_space_group_name_H-M 'P 1'
_symmetry_Int_Tables_number 1
_cell_length_a 7.0404
_cell_length_b 7.0404
_cell_length_c 7.3911
_cell_angle_alpha 117.93
_cell_angle_beta 117.93
_cell_angle_gamma 90.81
loop_
_symmetry_equiv_pos_as_xyz
'x,y,z'
loop_
_atom_site_label
_atom_site_type_symbol
_atom_site_fract_x
_atom_site_fract_y
_atom_site_fract_z
Be1 Be 0.0000 0.0000 0.0000
In1 In 0.2298 0.7295 0.4998
In2 In 0.7295 0.2298 0.4998
Cl1 Cl 0.0440 0.0440 0.3132
Cl2 Cl 0.2834 0.9454 0.9998
Cl3 Cl 0.7313 0.7313 0.6875
Cl4 Cl 0.9454 0.2834 0.9998
# SG ... Cm
# Electronic total energy ... -3.425 eV/atom
# E_form (uncorrected) ... -1.05 eV/atom
# Total magnetic moment ... 0.00 Bohr magnetons per cell
# D(E_F) ... 0.0 states/eV/cell


(9)
# LiNi2Hg2, optimized geometry, DFT PBE-GGA
data_LiNi2Hg2
_symmetry_space_group_name_H-M 'P 1'
_symmetry_Int_Tables_number 1
_cell_length_a 7.4611
_cell_length_b 7.4611
_cell_length_c 2.9945
_cell_angle_alpha 90.00
_cell_angle_beta 90.00
_cell_angle_gamma 90.00
loop_
_symmetry_equiv_pos_as_xyz
'x,y,z'
loop_
_atom_site_label
_atom_site_type_symbol
_atom_site_fract_x
_atom_site_fract_y
_atom_site_fract_z
Li1 Li 0.0000 0.0000 0.0000
Li2 Li 0.5000 0.5000 0.0000
Ni1 Ni 0.1160 0.3840 0.0000
Ni2 Ni 0.3840 0.8840 0.0000
Ni3 Ni 0.6160 0.1160 0.0000
Ni4 Ni 0.8840 0.6160 0.0000
Hg1 Hg 0.1803 0.6803 0.5000
Hg2 Hg 0.3197 0.1803 0.5000
Hg3 Hg 0.6803 0.8197 0.5000
Hg4 Hg 0.8197 0.3197 0.5000
# Energy relative to the lowest polymorph listed for this composition ... 0 meV per atom
# SG ... P4/mbm
# Electronic total energy ... -2.774 eV/atom
# Total magnetic moment ... 0.00 Bohr magnetons per cell
# D(E_F) ... 4.4 states/eV/cell


(10)
# NdSmH, optimized geometry, DFT PBE-GGA
data_NdSmH
_symmetry_space_group_name_H-M 'P 1'
_symmetry_Int_Tables_number 1
_cell_length_a 6.6746
_cell_length_b 6.6746
_cell_length_c 6.6746
_cell_angle_alpha 149.87
_cell_angle_beta 149.87
_cell_angle_gamma 43.13
loop_
_symmetry_equiv_pos_as_xyz
'x,y,z'
loop_
_atom_site_label
_atom_site_type_symbol
_atom_site_fract_x
_atom_site_fract_y
_atom_site_fract_z
Nd1 Nd 0.0000 0.0000 0.0000
Sm1 Sm 0.2880 0.2880 0.0000
H1 H 0.4722 0.4722 0.0000
# Energy relative to the lowest polymorph listed for this composition ... 104 meV per atom
# SG ... I4mm
# Electronic total energy ... -4.407 eV/atom
# Total magnetic moment ... 0.00 Bohr magnetons per cell
# D(E_F) ... 2.8 states/eV/cell


(11)
# TaAl2Ag, optimized geometry, DFT PBE-GGA
data_TaAl2Ag
_symmetry_space_group_name_H-M 'P 1'
_symmetry_Int_Tables_number 1
_cell_length_a 2.8890
_cell_length_b 4.2014
_cell_length_c 5.6822
_cell_angle_alpha 90.00
_cell_angle_beta 90.10
_cell_angle_gamma 90.00
loop_
_symmetry_equiv_pos_as_xyz
'x,y,z'
loop_
_atom_site_label
_atom_site_type_symbol
_atom_site_fract_x
_atom_site_fract_y
_atom_site_fract_z
Ta1 Ta 0.0000 0.0000 0.0000
Al1 Al 0.4985 0.5000 0.7679
Al2 Al 0.5015 0.5000 0.2321
Ag1 Ag 0.5000 0.0000 0.5000
# Energy relative to the lowest polymorph listed for this composition ... 77 meV per atom
# SG ... P2/m
# Electronic total energy ... -5.610 eV/atom
# Total magnetic moment ... 0.00 Bohr magnetons per cell
# D(E_F) ... 1.7 states/eV/cell


(12)
# KPaAg2Te4, optimized geometry, DFT PBE-GGA
data_KPaAg2Te4
_symmetry_space_group_name_H-M 'P 1'
_symmetry_Int_Tables_number 1
_cell_length_a 7.1642
_cell_length_b 7.1642
_cell_length_c 7.1642
_cell_angle_alpha 118.46
_cell_angle_beta 107.88
_cell_angle_gamma 102.50
loop_
_symmetry_equiv_pos_as_xyz
'x,y,z'
loop_
_atom_site_label
_atom_site_type_symbol
_atom_site_fract_x
_atom_site_fract_y
_atom_site_fract_z
K1 K 0.0000 0.0000 0.0000
Pa1 Pa 0.5000 0.5000 0.0000
Ag1 Ag 0.3410 0.8410 0.5000
Ag2 Ag 0.6590 0.1590 0.5000
Te1 Te 0.1014 0.0957 0.5705
Te2 Te 0.4747 0.9043 0.0056
Te3 Te 0.5253 0.5309 0.4295
Te4 Te 0.8986 0.4691 0.9944
# SG ... I222
# Electronic total energy ... -4.042 eV/atom
# E_form (uncorrected) ... -0.43 eV/atom
# Total magnetic moment ... 0.18 Bohr magnetons per cell